Entry 1:
The following is a DFT calculation (PBE) of an optimized crystal structure of TaPbO2.

abc: 6.211 6.211 6.211
angles: 120.14 120.14 89.75
Fractional positions:
Ta (0.375, 0.625, 0.750)
Ta (0.625, 0.375, 0.250)
Pb (0.125, 0.875, 0.250)
Pb (0.875, 0.125, 0.750)
O (0.000, 0.500, 0.500)
O (0.500, 0.000, 0.000)
O (0.500, 0.500, 0.000)
O (0.500, 0.500, 0.500)

Results
* spin magnetization: 0.0 Bohr magnetons per cell
* energy relative to the elements, uncorrected: -1467.0 meV/atom
* SG: I4_1/amd (141)
* D(E_F): 7.0 states/eV per cell

=====

Entry 2:
The following is a DFT calculation (PBE) of an optimized crystal structure of TaPbO4.

abc: 8.316 8.316 5.677
angles: 90.00 90.00 153.02
Fractional positions:
Ta (0.081, 0.919, 0.750)
Ta (0.919, 0.081, 0.250)
Pb (0.301, 0.699, 0.750)
Pb (0.699, 0.301, 0.250)
O (0.000, 0.000, 0.000)
O (0.000, 0.000, 0.500)
O (0.179, 0.821, 0.501)
O (0.179, 0.821, 0.999)
O (0.404, 0.596, 0.250)
O (0.596, 0.404, 0.750)
O (0.821, 0.179, 0.001)
O (0.821, 0.179, 0.499)

Results
* spin magnetization: 0.0 Bohr magnetons per cell
* energy relative to the elements, uncorrected: -2041.9 meV/atom
* SG: Cmcm (63)
* D(E_F): 4.8 states/eV per cell

=====

Among the records above, which one has the lowest energy relative to the elements, uncorrected?
TaPbO4

=====

Look up the spin magnetization of the first one.
0.0 Bohr magnetons per cell